Version A
# TaFe3I

Crystalline TaFe3I at its relaxed geometry (PBE, Alexandria).

V	20.81	Å³/atom
symmetry	Pm-3m, No. 221

Lattice parameters (Å, degrees): 4.703 4.703 4.703 90.00 90.00 90.00
Sites, in units of the cell vectors:
Fe1 0.000 0.500 0.000
Fe2 0.500 0.000 0.000
I1 0.500 0.500 0.500
Fe3 0.000 0.000 0.500
Ta1 0.000 0.000 0.000

=====

Version B
# TaFe3I

Crystalline TaFe3I at its relaxed geometry (PBE, Alexandria).

V	18.59	Å³/atom
symmetry	Pm-3m, No. 221

Lattice parameters (Å, degrees): 4.530 4.530 4.530 90.00 90.00 90.00
Sites, in units of the cell vectors:
Fe1 0.500 0.000 0.000
Fe2 0.000 0.500 0.000
I1 0.000 0.000 0.000
Fe3 0.000 0.000 0.500
Ta1 0.500 0.500 0.500

=====

Relative to the most stable structure, the computed energies are version A 0.000; version B 0.230, all in eV/atom.

=====

Version A
# TaFeTe2I

Crystalline TaFeTe2I at its relaxed geometry (PBE, Alexandria).

V	24.30	Å³/atom
symmetry	P4/mmm, No. 123

Lattice parameters (Å, degrees): 4.943 4.943 4.974 90.00 90.00 90.00
Sites, in units of the cell vectors:
Te1 0.500 0.000 0.000
Te2 0.000 0.500 0.000
Ta1 0.500 0.500 0.500
Fe1 0.000 0.000 0.000
I1 0.000 0.000 0.500

=====

Version B
# TaFeTe2I

Crystalline TaFeTe2I at its relaxed geometry (PBE, Alexandria).

V	32.87	Å³/atom
symmetry	P4/mmm, No. 123

Lattice parameters (Å, degrees): 5.407 5.407 5.622 90.00 90.00 90.00
Sites, in units of the cell vectors:
Te1 0.500 0.000 0.000
Fe1 0.500 0.500 0.500
Ta1 0.000 0.000 0.000
I1 0.000 0.000 0.500
Te2 0.000 0.500 0.000

=====

Relative to the most stable structure, the computed energies are version A 0.277; version B 0.000, all in eV/atom.